# 1
Computed, not measured: RbSrRhBr2 after structural relaxation at the PBE level of DFT.

Output
Formation energy from raw total energies: -0.25 eV per atom
Space group: P4/mmm

Cell lengths 5.761, 5.761, 13.367 Å; angles 90.00, 90.00, 90.00 degrees
Fractional positions:
Rb (0.000, 0.000, 0.000)
Sr (0.000, 0.000, 0.500)
Rh (0.500, 0.500, 0.000)
Br (0.000, 0.500, 0.500)
Br (0.500, 0.000, 0.500)

***

# 2
Computed, not measured: H2SeI after structural relaxation at the PBE level of DFT.

Output
Space group: P1

Cell lengths 5.512, 6.272, 8.166 Å; angles 103.58, 107.79, 91.24 degrees
Fractional positions:
H (0.000, 0.000, 0.000)
H (0.096, 0.399, 0.621)
H (0.435, 0.627, 0.043)
H (0.623, 0.342, 0.671)
Se (0.078, 0.926, 0.168)
Se (0.501, 0.851, 0.169)
I (0.490, 0.199, 0.776)
I (0.868, 0.536, 0.519)

***

# 3
Computed, not measured: LaC2O after structural relaxation at the PBE level of DFT.

Output
Formation energy from raw total energies: 0.10 eV per atom
Space group: I4_1/amd

Cell lengths 3.186, 3.186, 22.611 Å; angles 90.00, 90.00, 90.00 degrees
Fractional positions:
La (0.000, 0.250, 0.375)
La (0.000, 0.750, 0.625)
La (0.500, 0.250, 0.125)
La (0.500, 0.750, 0.875)
C (0.000, 0.000, 0.000)
C (0.000, 0.500, 0.000)
C (0.250, 0.250, 0.750)
C (0.250, 0.750, 0.250)
C (0.500, 0.000, 0.500)
C (0.500, 0.500, 0.500)
C (0.750, 0.250, 0.750)
C (0.750, 0.750, 0.250)
O (0.000, 0.250, 0.875)
O (0.000, 0.750, 0.125)
O (0.500, 0.250, 0.625)
O (0.500, 0.750, 0.375)

***

# 4
Computed, not measured: Zr2Ga2Rh after structural relaxation at the PBE level of DFT.

Output
Space group: Ibam
Energy of formation: -0.402 eV per atom

Cell lengths 7.083, 7.083, 7.083 Å; angles 127.15, 73.26, 133.17 degrees
Fractional positions:
Zr (0.116, 0.184, 0.300)
Zr (0.384, 0.684, 0.067)
Zr (0.616, 0.316, 0.933)
Zr (0.884, 0.816, 0.700)
Ga (0.137, 0.734, 0.871)
Ga (0.363, 0.234, 0.597)
Ga (0.637, 0.766, 0.403)
Ga (0.863, 0.266, 0.129)
Rh (0.250, 0.750, 0.500)
Rh (0.750, 0.250, 0.500)

***

# 5
Computed, not measured: Re3Pb after structural relaxation at the PBE level of DFT.

Output
Space group: Pnma
Energy of formation: 0.788 eV per atom

Cell lengths 5.180, 9.214, 5.739 Å; angles 90.00, 90.00, 90.00 degrees
Fractional positions:
Re (0.085, 0.250, 0.135)
Re (0.201, 0.510, 0.847)
Re (0.201, 0.990, 0.847)
Re (0.299, 0.010, 0.347)
Re (0.299, 0.490, 0.347)
Re (0.415, 0.750, 0.635)
Re (0.585, 0.250, 0.365)
Re (0.701, 0.510, 0.653)
Re (0.701, 0.990, 0.653)
Re (0.799, 0.010, 0.153)
Re (0.799, 0.490, 0.153)
Re (0.915, 0.750, 0.865)
Pb (0.056, 0.250, 0.610)
Pb (0.444, 0.750, 0.110)
Pb (0.556, 0.250, 0.890)
Pb (0.944, 0.750, 0.390)

***

# 6
Computed, not measured: LaSmBr4 after structural relaxation at the PBE level of DFT.

Output
Formation energy from raw total energies: -1.65 eV per atom
Space group: I-4m2

Cell lengths 5.895, 5.895, 11.587 Å; angles 90.00, 90.00, 90.00 degrees
Fractional positions:
La (0.000, 0.000, 0.000)
La (0.500, 0.500, 0.500)
Sm (0.000, 0.500, 0.750)
Sm (0.500, 0.000, 0.250)
Br (0.000, 0.000, 0.265)
Br (0.000, 0.000, 0.735)
Br (0.000, 0.500, 0.007)
Br (0.000, 0.500, 0.493)
Br (0.500, 0.000, 0.507)
Br (0.500, 0.000, 0.993)
Br (0.500, 0.500, 0.235)
Br (0.500, 0.500, 0.765)

***

# 7
Computed, not measured: CoAgGe2 after structural relaxation at the PBE level of DFT.

Output
Space group: I-42d
Energy of formation: 0.278 eV per atom

Cell lengths 4.138, 4.138, 16.135 Å; angles 90.00, 90.00, 90.00 degrees
Fractional positions:
Co (0.000, 0.000, 0.000)
Co (0.000, 0.500, 0.250)
Co (0.500, 0.000, 0.750)
Co (0.500, 0.500, 0.500)
Ag (0.000, 0.000, 0.500)
Ag (0.000, 0.500, 0.750)
Ag (0.500, 0.000, 0.250)
Ag (0.500, 0.500, 0.000)
Ge (0.199, 0.250, 0.125)
Ge (0.250, 0.699, 0.375)
Ge (0.250, 0.801, 0.875)
Ge (0.301, 0.250, 0.625)
Ge (0.699, 0.750, 0.625)
Ge (0.750, 0.199, 0.875)
Ge (0.750, 0.301, 0.375)
Ge (0.801, 0.750, 0.125)

***

# 8
Computed, not measured: ErPuRu4 after structural relaxation at the PBE level of DFT.

Output
Space group: F-43m
Energy of formation: -0.229 eV per atom

Cell lengths 5.317, 5.317, 5.317 Å; angles 60.00, 60.00, 60.00 degrees
Fractional positions:
Er (0.000, 0.000, 0.000)
Pu (0.250, 0.250, 0.250)
Ru (0.125, 0.625, 0.625)
Ru (0.625, 0.125, 0.625)
Ru (0.625, 0.625, 0.125)
Ru (0.625, 0.625, 0.625)

***

# 9
Computed, not measured: Li3ZrS after structural relaxation at the PBE level of DFT.

Output
Formation energy from raw total energies: 1.18 eV per atom
Space group: Pm-3m

Cell lengths 5.287, 5.287, 5.287 Å; angles 90.00, 90.00, 90.00 degrees
Fractional positions:
Li (0.000, 0.000, 0.500)
Li (0.000, 0.500, 0.000)
Li (0.500, 0.000, 0.000)
Zr (0.000, 0.000, 0.000)
S (0.500, 0.500, 0.500)

***

# 10
Computed, not measured: Zr2MnV after structural relaxation at the PBE level of DFT.

Output
Space group: P4/mmm
Energy of formation: 0.104 eV per atom

Cell lengths 3.268, 3.268, 6.593 Å; angles 90.00, 90.00, 90.00 degrees
Fractional positions:
Zr (0.000, 0.000, 0.239)
Zr (0.000, 0.000, 0.761)
Mn (0.500, 0.500, 0.000)
V (0.500, 0.500, 0.500)

***

# 11
Computed, not measured: SrHgW4 after structural relaxation at the PBE level of DFT.

Output
Space group: F-43m
Energy of formation: 0.849 eV per atom

Cell lengths 5.531, 5.531, 5.531 Å; angles 60.00, 60.00, 60.00 degrees
Fractional positions:
Sr (0.000, 0.000, 0.000)
Hg (0.250, 0.250, 0.250)
W (0.123, 0.626, 0.626)
W (0.626, 0.123, 0.626)
W (0.626, 0.626, 0.123)
W (0.626, 0.626, 0.626)

***

# 12
Computed, not measured: LaCe2Ho after structural relaxation at the PBE level of DFT.

Output
Space group: P4/mmm
Energy of formation: 0.108 eV per atom

Cell lengths 4.938, 4.938, 5.117 Å; angles 90.00, 90.00, 90.00 degrees
Fractional positions:
La (0.000, 0.000, 0.000)
Ce (0.000, 0.500, 0.500)
Ce (0.500, 0.000, 0.500)
Ho (0.500, 0.500, 0.000)

***

# 13
Computed, not measured: Ca2ZnBiAs after structural relaxation at the PBE level of DFT.

Output
Space group: P2_1/m
Energy of formation: -0.760 eV per atom

Cell lengths 7.593, 4.415, 9.015 Å; angles 90.00, 105.88, 90.00 degrees
Fractional positions:
Ca (0.186, 0.250, 0.397)
Ca (0.223, 0.250, 0.978)
Ca (0.777, 0.750, 0.022)
Ca (0.814, 0.750, 0.603)
Zn (0.489, 0.750, 0.267)
Zn (0.511, 0.250, 0.733)
Bi (0.290, 0.750, 0.699)
Bi (0.710, 0.250, 0.301)
As (0.163, 0.750, 0.180)
As (0.837, 0.250, 0.820)

***

# 14
Computed, not measured: Cd2AuSe after structural relaxation at the PBE level of DFT.

Output
Formation energy from raw total energies: -0.08 eV per atom
Space group: I-42d

Cell lengths 7.193, 7.193, 8.158 Å; angles 90.00, 90.00, 90.00 degrees
Fractional positions:
Cd (0.242, 0.250, 0.125)
Cd (0.250, 0.742, 0.375)
Cd (0.250, 0.758, 0.875)
Cd (0.258, 0.250, 0.625)
Cd (0.742, 0.750, 0.625)
Cd (0.750, 0.242, 0.875)
Cd (0.750, 0.258, 0.375)
Cd (0.758, 0.750, 0.125)
Au (0.000, 0.000, 0.500)
Au (0.000, 0.500, 0.750)
Au (0.500, 0.000, 0.250)
Au (0.500, 0.500, 0.000)
Se (0.000, 0.000, 0.000)
Se (0.000, 0.500, 0.250)
Se (0.500, 0.000, 0.750)
Se (0.500, 0.500, 0.500)

***

# 15
Computed, not measured: Li2AlIr after structural relaxation at the PBE level of DFT.

Output
Space group: R-3m
Energy of formation: -0.094 eV per atom

Cell lengths 2.729, 2.729, 27.151 Å; angles 90.00, 90.00, 120.00 degrees
Fractional positions:
Li (0.000, 0.000, 0.245)
Li (0.000, 0.000, 0.755)
Li (0.333, 0.667, 0.422)
Li (0.333, 0.667, 0.912)
Li (0.667, 0.333, 0.088)
Li (0.667, 0.333, 0.578)
Al (0.000, 0.000, 0.000)
Al (0.333, 0.667, 0.667)
Al (0.667, 0.333, 0.333)
Ir (0.000, 0.000, 0.500)
Ir (0.333, 0.667, 0.167)
Ir (0.667, 0.333, 0.833)

***

# 16
Computed, not measured: Y3Ni3Ge after structural relaxation at the PBE level of DFT.

Output
Space group: C2/m
Energy of formation: -0.545 eV per atom

Cell lengths 5.530, 5.530, 13.967 Å; angles 108.62, 108.62, 42.97 degrees
Fractional positions:
Y (0.030, 0.030, 0.386)
Y (0.107, 0.107, 0.924)
Y (0.247, 0.247, 0.228)
Y (0.753, 0.753, 0.772)
Y (0.893, 0.893, 0.076)
Y (0.970, 0.970, 0.614)
Ni (0.364, 0.364, 0.458)
Ni (0.396, 0.396, 0.924)
Ni (0.459, 0.459, 0.771)
Ni (0.541, 0.541, 0.229)
Ni (0.604, 0.604, 0.076)
Ni (0.636, 0.636, 0.542)
Ge (0.258, 0.258, 0.606)
Ge (0.742, 0.742, 0.394)

***

# 17
Computed, not measured: CsPbSeI2 after structural relaxation at the PBE level of DFT.

Output
Formation energy from raw total energies: -0.71 eV per atom
Space group: P4/mmm

Cell lengths 6.425, 6.425, 5.638 Å; angles 90.00, 90.00, 90.00 degrees
Fractional positions:
Cs (0.000, 0.000, 0.000)
Pb (0.500, 0.500, 0.500)
Se (0.500, 0.500, 0.000)
I (0.000, 0.500, 0.500)
I (0.500, 0.000, 0.500)

***

# 18
Computed, not measured: Tb2ErRh9 after structural relaxation at the PBE level of DFT.

Output
Space group: R-3m
Energy of formation: -0.563 eV per atom

Cell lengths 9.306, 9.306, 9.306 Å; angles 32.77, 32.77, 32.77 degrees
Fractional positions:
Tb (0.139, 0.139, 0.139)
Tb (0.861, 0.861, 0.861)
Er (0.000, 0.000, 0.000)
Rh (0.082, 0.582, 0.582)
Rh (0.333, 0.333, 0.333)
Rh (0.418, 0.418, 0.918)
Rh (0.418, 0.918, 0.418)
Rh (0.500, 0.500, 0.500)
Rh (0.582, 0.082, 0.582)
Rh (0.582, 0.582, 0.082)
Rh (0.667, 0.667, 0.667)
Rh (0.918, 0.418, 0.418)

***

# 19
Computed, not measured: AlCoCuTe2 after structural relaxation at the PBE level of DFT.

Output
Formation energy from raw total energies: 0.79 eV per atom
Space group: P4/mmm

Cell lengths 5.232, 5.232, 4.436 Å; angles 90.00, 90.00, 90.00 degrees
Fractional positions:
Al (0.000, 0.000, 0.000)
Co (0.500, 0.500, 0.000)
Cu (0.000, 0.000, 0.500)
Te (0.000, 0.500, 0.500)
Te (0.500, 0.000, 0.500)

***

# 20
Computed, not measured: Tb2NpSi after structural relaxation at the PBE level of DFT.

Output
Formation energy from raw total energies: 0.32 eV per atom
Space group: R-3m

Cell lengths 3.448, 3.448, 32.263 Å; angles 90.00, 90.00, 120.00 degrees
Fractional positions:
Tb (0.000, 0.000, 0.103)
Tb (0.000, 0.000, 0.897)
Tb (0.333, 0.667, 0.564)
Tb (0.333, 0.667, 0.770)
Tb (0.667, 0.333, 0.230)
Tb (0.667, 0.333, 0.436)
Np (0.000, 0.000, 0.000)
Np (0.333, 0.667, 0.667)
Np (0.667, 0.333, 0.333)
Si (0.000, 0.000, 0.500)
Si (0.333, 0.667, 0.167)
Si (0.667, 0.333, 0.833)

***

The final energy results, record by record, are as follows: -2.92; -2.91; -6.98; -6.50; -9.48; -4.37; -4.52; -9.56; -2.50; -8.74; -8.12; -5.24; -3.52; -2.23; -4.20; -6.45; -2.94; -7.23; -3.46; -6.58 eV per atom.